Density functional theory data (SCAN) for LiFeP2O at its PBEsol-relaxed geometry.

Properties
E	-9.6116	eV per atom
E_form (uncorrected)	-102	meV per atom
space group	P4/mmm, No. 123
distance to the lowest polymorph of the same formula	0.00	kcal/mol of atoms
size of the total moment	1.84	Bohr magnetons per cell

```
LiFeP2O
1.0
3.318 0.000 0.000
0.000 4.626 0.000
0.000 0.000 4.626
O Fe Li P
1 1 1 2
direct
0.500 0.000 0.000
0.000 0.000 0.000
0.500 0.500 0.500
0.000 0.000 0.500
0.000 0.500 0.000
```

Density functional theory data (SCAN) for CdMoOs2 at its PBEsol-relaxed geometry.

Properties
formation enthalpy at 0 K	0.3577	eV/atom
E	-51.9071	eV per atom
space group	P4/mmm, No. 123
size of the total moment	0.00	Bohr magnetons per cell

```
CdMoOs2
1.0
2.801 0.000 0.000
0.000 2.801 0.000
0.000 0.000 7.894
Mo Os Cd
1 2 1
direct
0.500 0.500 0.500
0.000 0.000 0.730
0.000 0.000 0.270
0.500 0.500 0.000
```

Density functional theory data (SCAN) for NaY3O at its PBEsol-relaxed geometry.

Properties
E	-19.7693	eV per atom
E_form (uncorrected)	-974	meV per atom
space group	Pm-3m, No. 221
size of the total moment	0.00	Bohr magnetons per cell

```
NaY3O
1.0
-2.411 0.102 -4.197
3.736 -2.154 -2.199
-1.914 -4.334 0.994
Y Na O
3 1 1
direct
0.500 0.000 0.000
0.000 0.500 0.000
0.000 0.000 0.500
0.500 0.500 0.500
0.000 0.000 0.000
```

Density functional theory data (SCAN) for LiAgPb3 at its PBEsol-relaxed geometry.

Properties
formation enthalpy at 0 K	0.2872	eV/atom
E	-51.9328	eV per atom
space group	Pm-3m, No. 221
size of the total moment	0.00	Bohr magnetons per cell

```
LiAgPb3
1.0
5.461 0.000 0.000
0.000 5.461 0.000
0.000 0.000 5.461
Li Ag Pb
1 1 3
direct
0.500 0.500 0.500
0.000 0.000 0.000
0.500 0.000 0.000
0.000 0.500 0.000
0.000 0.000 0.500
```

Density functional theory data (SCAN) for MnP2SN at its PBEsol-relaxed geometry.

Properties
E	-10.2211	eV per atom
E_form (uncorrected)	1373	meV per atom
space group	P4/mmm, No. 123
size of the total moment	0.50	Bohr magnetons per cell

```
MnP2SN
1.0
4.076 0.000 0.000
0.000 4.293 0.000
0.000 0.000 4.293
S N P Mn
1 1 2 1
direct
0.500 0.000 0.000
0.500 0.500 0.500
0.000 0.000 0.500
0.000 0.500 0.000
0.000 0.000 0.000
```

Density functional theory data (SCAN) for ReAsPt2 at its PBEsol-relaxed geometry.

Properties
formation enthalpy at 0 K	0.1294	eV/atom
E	-57.7892	eV per atom
space group	R3m, No. 160
size of the total moment	0.00	Bohr magnetons per cell

```
ReAsPt2
1.0
-0.906 -0.809 -2.595
-1.980 -2.056 -0.249
-7.070 4.887 -0.637
Re Pt As
1 2 1
direct
0.504 0.504 0.489
0.996 0.996 0.012
0.753 0.753 0.741
0.247 0.247 0.258
```

Density functional theory data (SCAN) for NaLiMgPO4F at its PBEsol-relaxed geometry.

Properties
E	-8.4818	eV per atom
E_form (uncorrected)	-2877	meV per atom
space group	P2_1/c, No. 14
size of the total moment	0.00	Bohr magnetons per cell

```
NaLiMgPO4F
1.0
-1.511 -3.927 2.721
5.163 1.026 4.337
-6.502 6.756 6.143
O P Mg Na Li F
16 4 4 4 4 4
direct
0.425 0.803 0.927
0.075 0.197 0.427
0.368 0.892 0.672
0.739 0.460 0.375
0.239 0.460 0.125
0.761 0.540 0.875
0.925 0.803 0.573
0.575 0.197 0.073
0.360 0.781 0.458
0.132 0.108 0.172
0.868 0.892 0.828
0.640 0.219 0.542
0.632 0.108 0.328
0.140 0.219 0.958
0.860 0.781 0.042
0.261 0.540 0.625
0.772 0.247 0.418
0.272 0.247 0.082
0.728 0.753 0.918
0.228 0.753 0.582
0.236 0.019 0.829
0.264 0.981 0.329
0.764 0.981 0.171
0.736 0.019 0.671
0.754 0.489 0.666
0.254 0.489 0.834
0.746 0.511 0.166
0.246 0.511 0.334
0.738 0.736 0.421
0.262 0.264 0.579
0.762 0.264 0.921
0.238 0.736 0.079
0.962 0.800 0.289
0.038 0.200 0.711
0.462 0.800 0.211
0.538 0.200 0.789
```

Density functional theory data (SCAN) for KCa2InTe at its PBEsol-relaxed geometry.

Properties
E	-18.9920	eV per atom
E_form (uncorrected)	667	meV per atom
space group	P4/mmm, No. 123
size of the total moment	0.03	Bohr magnetons per cell

```
KCa2InTe
1.0
5.547 0.000 0.000
0.000 6.090 0.000
0.000 0.000 6.090
In Ca K Te
1 2 1 1
direct
0.500 0.000 0.000
0.000 0.500 0.000
0.000 0.000 0.500
0.000 0.000 0.000
0.500 0.500 0.500
```

Density functional theory data (SCAN) for Ca3TlP at its PBEsol-relaxed geometry.

Properties
formation enthalpy at 0 K	-0.8791	eV/atom
E	-23.2286	eV per atom
space group	P4/mmm, No. 123
distance to the lowest polymorph of the same formula	0.00	kcal/mol of atoms
size of the total moment	0.00	Bohr magnetons per cell

```
Ca3TlP
1.0
3.994 0.000 0.000
0.000 3.994 0.000
0.000 0.000 9.071
Tl P Ca
1 1 3
direct
0.000 0.000 0.500
0.500 0.500 0.000
0.500 0.500 0.698
0.000 0.000 0.000
0.500 0.500 0.302
```

Density functional theory data (SCAN) for Zr2CdHg at its PBEsol-relaxed geometry.

Properties
formation enthalpy at 0 K	-0.1915	eV/atom
E	-40.1860	eV per atom
space group	P4mm, No. 99
distance to the lowest polymorph of the same formula	2.21	kcal/mol of atoms
size of the total moment	0.00	Bohr magnetons per cell

```
Zr2CdHg
1.0
3.123 0.000 0.000
0.000 3.123 0.000
0.000 0.000 8.678
Zr Hg Cd
2 1 1
direct
0.500 0.500 0.253
0.000 0.000 0.993
0.500 0.500 0.747
0.000 0.000 0.508
```